No. 1
MgPt | PBE | optimized geometry

Cell: 7.2611 7.2611 7.2611 Å, 90.00 90.00 90.00°
Fractional positions:
Mg: 0.0000 0.2500 0.5000
Mg: 0.0000 0.7500 0.5000
Mg: 0.2500 0.5000 0.0000
Mg: 0.5000 0.0000 0.2500
Mg: 0.5000 0.0000 0.7500
Mg: 0.7500 0.5000 0.0000
Pt: 0.0000 0.5000 0.2500
Pt: 0.0000 0.5000 0.7500
Pt: 0.2500 0.0000 0.5000
Pt: 0.5000 0.2500 0.0000
Pt: 0.5000 0.7500 0.0000
Pt: 0.7500 0.0000 0.5000

No. 2
Mg3Pt2 | PBE | optimized geometry

Cell: 4.4296 5.6012 7.4502 Å, 108.45 107.28 90.06°
Fractional positions:
Mg: 0.0000 0.0000 0.0000
Mg: 0.0000 0.5000 0.0000
Mg: 0.2084 0.3117 0.4174
Mg: 0.3911 0.1203 0.7816
Mg: 0.6089 0.8797 0.2184
Mg: 0.7916 0.6883 0.5826
Pt: 0.1970 0.7989 0.3947
Pt: 0.4060 0.6379 0.8110
Pt: 0.5940 0.3621 0.1890
Pt: 0.8030 0.2011 0.6053

No. 3
MgPt | PBE | optimized geometry

Cell: 4.5028 4.5028 7.9097 Å, 90.00 90.00 120.00°
Fractional positions:
Mg: 0.0000 0.0000 0.2500
Mg: 0.0000 0.0000 0.7500
Mg: 0.3333 0.6667 0.2500
Mg: 0.6667 0.3333 0.7500
Pt: 0.3333 0.6667 0.5810
Pt: 0.3333 0.6667 0.9190
Pt: 0.6667 0.3333 0.0810
Pt: 0.6667 0.3333 0.4190

No. 4
MgPt | PBE | optimized geometry

Cell: 4.5353 4.5353 8.2039 Å, 90.00 90.00 120.00°
Fractional positions:
Mg: 0.3333 0.6667 0.0847
Mg: 0.3333 0.6667 0.4153
Mg: 0.6667 0.3333 0.5847
Mg: 0.6667 0.3333 0.9153
Pt: 0.0000 0.0000 0.2500
Pt: 0.0000 0.0000 0.7500
Pt: 0.3333 0.6667 0.7500
Pt: 0.6667 0.3333 0.2500

No. 5
Mg3Pt2 | PBE | optimized geometry

Cell: 4.4719 4.4719 5.4244 Å, 90.00 90.00 120.00°
Fractional positions:
Mg: 0.0000 0.0000 0.0000
Mg: 0.3333 0.6667 0.6499
Mg: 0.6667 0.3333 0.3501
Pt: 0.3333 0.6667 0.1538
Pt: 0.6667 0.3333 0.8462

No. 6
Mg4Pt5 | PBE | optimized geometry

Properties
The calculation puts the polymorph energy (0 for the lowest one) at 0.027 eV per atom.

Cell: 7.8073 7.8073 5.5319 Å, 90.00 90.00 120.00°
Fractional positions:
Mg: 0.0000 0.0000 0.0000
Mg: 0.0000 0.0000 0.5000
Mg: 0.0000 0.3644 0.2500
Mg: 0.0000 0.6356 0.7500
Mg: 0.3644 0.0000 0.2500
Mg: 0.3644 0.3644 0.7500
Mg: 0.6356 0.0000 0.7500
Mg: 0.6356 0.6356 0.2500
Pt: 0.0000 0.3056 0.7500
Pt: 0.0000 0.6944 0.2500
Pt: 0.3056 0.0000 0.7500
Pt: 0.3056 0.3056 0.2500
Pt: 0.3333 0.6667 0.0000
Pt: 0.3333 0.6667 0.5000
Pt: 0.6667 0.3333 0.0000
Pt: 0.6667 0.3333 0.5000
Pt: 0.6944 0.0000 0.2500
Pt: 0.6944 0.6944 0.7500

No. 7
MgPt2 | PBE | optimized geometry

Cell: 5.3608 5.3608 6.6202 Å, 103.63 103.63 31.13°
Fractional positions:
Mg: 0.0000 0.0000 0.0000
Mg: 0.6927 0.6927 0.3678
Pt: 0.0656 0.0656 0.6239
Pt: 0.3420 0.3420 0.6837
Pt: 0.4100 0.4100 0.2855
Pt: 0.7225 0.7225 0.9709

No. 8
MgPt3 | PBE | optimized geometry

Cell: 4.7030 4.7030 4.7030 Å, 90.00 90.00 90.00°
Fractional positions:
Mg: 0.0000 0.0000 0.0000
Pt: 0.0000 0.0000 0.5000
Pt: 0.0000 0.5000 0.0000
Pt: 0.5000 0.0000 0.0000

no.,uncorrected energy (eV per cell),DOS at the Fermi energy (states/eV per atom)
1,-43.71,0.184
2,-41.12,0.342
3,-33.72,0.420
4,-34.48,0.752
5,-20.49,0.383
6,-84.76,0.359
7,-30.71,0.804
8,-14.16,1.299